The following is a DFT calculation (PBE-GGA) of Na3AcSe3 after structural relaxation.

Summary:
formation energy from raw total energies	-1.4086	eV/atom
V	31.06	A^3/atom
uncorrected energy	-4.054	eV per atom
magnetic moment	0.000	Bohr magnetons per cell

Geometry as POSCAR:
```
Na3AcSe3
1.0
7.3648 0.0000 3.7496
2.7279 6.8410 3.7496
0.1763 0.1195 8.7612
Na Se Ac
6 6 2
Direct
0.8696 0.6028 0.3547
0.6028 0.1729 0.3547
0.8271 0.1304 0.6453
0.3972 0.8271 0.6453
0.1304 0.3972 0.6453
0.1729 0.8696 0.3547
0.7086 0.4586 0.7592
0.2914 0.5414 0.2408
0.4586 0.0736 0.7592
0.9264 0.2914 0.2408
0.5414 0.9264 0.2408
0.0736 0.7086 0.7592
0.3338 0.3338 0.9986
0.6662 0.6662 0.0014
```